No. 1
Below is MgSi2Ir after structural relaxation, with properties calculated at the GGA-PBEsol level.

a = 4.732 Å, b = 4.732 Å, c = 4.732 Å
α = 132.61°, β = 132.61°, γ = 69.27°
Atoms (fractional coordinates):
Mg 0.000 0.000 0.000
Si 0.500 0.500 0.000
Si 0.750 0.250 0.500
Ir 0.250 0.750 0.500

Values from the calculation:
Density of states at the Fermi level, states/eV/cell: 2.4
Energy, eV per atom: -5.87
Space group: I-4m2, No. 119
Formation energy from raw total energies, eV per formula unit: -0.46



No. 2
Below is Mo2Ru3 after structural relaxation, with properties calculated at the GGA-PBEsol level.

a = 6.897 Å, b = 5.189 Å, c = 7.940 Å
α = 59.03°, β = 40.18°, γ = 80.79°
Atoms (fractional coordinates):
Mo 0.267 0.733 0.336
Mo 0.586 0.914 0.517
Mo 0.733 0.267 0.664
Mo 0.914 0.586 0.983
Ru 0.114 0.806 0.081
Ru 0.169 0.251 0.136
Ru 0.251 0.169 0.444
Ru 0.439 0.439 0.561
Ru 0.689 0.689 0.811
Ru 0.806 0.114 0.999

Values from the calculation:
Density of states at the Fermi level, states/eV/cell: 6.7
Energy, eV per atom: -10.75
Space group: Fdd2, No. 43
Calculated formation energy, eV/atom: 0.059



No. 3
Below is MnTeOs2 after structural relaxation, with properties calculated at the GGA-PBEsol level.

a = 5.172 Å, b = 5.172 Å, c = 5.172 Å
α = 145.40°, β = 129.24°, γ = 62.89°
Atoms (fractional coordinates):
Mn 0.000 0.000 0.000
Te 0.233 0.733 0.500
Os 0.473 0.473 0.000
Os 0.745 0.245 0.500

Values from the calculation:
Density of states at the Fermi level, states/eV/cell: 4.4
Energy, eV per atom: -8.69
Space group: Imm2, No. 44
Formation energy from raw total energies, eV per formula unit: 2.97



No. 4
Below is MgTcBi2 after structural relaxation, with properties calculated at the GGA-PBEsol level.

a = 7.503 Å, b = 7.503 Å, c = 7.503 Å
α = 127.34°, β = 127.34°, γ = 77.69°
Atoms (fractional coordinates):
Mg 0.000 0.000 0.000
Mg 0.750 0.250 0.500
Tc 0.250 0.750 0.500
Tc 0.500 0.500 0.000
Bi 0.167 0.125 0.542
Bi 0.375 0.833 0.958
Bi 0.583 0.625 0.458
Bi 0.875 0.417 0.042

Values from the calculation:
Density of states at the Fermi level, states/eV/cell: 6.5
Energy, eV per atom: -4.65
Space group: I-42d, No. 122
Calculated formation energy, eV/atom: 0.743



No. 5
Below is ZnAuSe2 after structural relaxation, with properties calculated at the GGA-PBEsol level.

a = 3.578 Å, b = 3.578 Å, c = 6.453 Å
α = 90.00°, β = 90.00°, γ = 90.00°
Atoms (fractional coordinates):
Zn 0.000 0.000 0.000
Au 0.500 0.500 0.485
Se 0.000 0.000 0.387
Se 0.500 0.500 0.900

Values from the calculation:
Density of states at the Fermi level, states/eV/cell: 2.2
Energy, eV per atom: -3.42
Space group: P4mm, No. 99
Formation energy from raw total energies, eV per formula unit: -0.47



No. 6
Below is La5Pb3C after structural relaxation, with properties calculated at the GGA-PBEsol level.

a = 9.531 Å, b = 9.531 Å, c = 6.788 Å
α = 90.00°, β = 90.00°, γ = 120.00°
Atoms (fractional coordinates):
La 0.000 0.211 0.250
La 0.000 0.789 0.750
La 0.211 0.000 0.250
La 0.211 0.211 0.750
La 0.333 0.667 0.000
La 0.333 0.667 0.500
La 0.667 0.333 0.000
La 0.667 0.333 0.500
La 0.789 0.000 0.750
La 0.789 0.789 0.250
Pb 0.000 0.411 0.750
Pb 0.000 0.589 0.250
Pb 0.411 0.000 0.750
Pb 0.411 0.411 0.250
Pb 0.589 0.000 0.250
Pb 0.589 0.589 0.750
C 0.000 0.000 0.000
C 0.000 0.000 0.500

Values from the calculation:
Density of states at the Fermi level, states/eV/cell: 22.3
Energy, eV per atom: -5.90
Space group: P6_3/mcm, No. 193
Calculated formation energy, eV/atom: -0.524



No. 7
Below is RbZrAsO2 after structural relaxation, with properties calculated at the GGA-PBEsol level.

a = 4.082 Å, b = 4.082 Å, c = 10.775 Å
α = 90.00°, β = 90.00°, γ = 90.00°
Atoms (fractional coordinates):
Rb 0.000 0.000 0.000
Zr 0.000 0.000 0.500
As 0.500 0.500 0.000
O 0.000 0.500 0.500
O 0.500 0.000 0.500

Values from the calculation:
Density of states at the Fermi level, states/eV/cell: 3.8
Energy, eV per atom: -6.01
Space group: P4/mmm, No. 123
Formation energy from raw total energies, eV per formula unit: -4.33



No. 8
Below is ScNiHg2 after structural relaxation, with properties calculated at the GGA-PBEsol level.

a = 8.490 Å, b = 8.490 Å, c = 8.490 Å
α = 22.08°, β = 22.08°, γ = 22.08°
Atoms (fractional coordinates):
Sc 0.000 0.000 0.000
Ni 0.500 0.500 0.500
Hg 0.241 0.241 0.241
Hg 0.759 0.759 0.759

Values from the calculation:
Density of states at the Fermi level, states/eV/cell: 3.5
Energy, eV per atom: -3.49
Space group: R-3m, No. 166
Calculated formation energy, eV/atom: -0.017



No. 9
Below is BaLa2Se4 after structural relaxation, with properties calculated at the GGA-PBEsol level.

a = 7.930 Å, b = 7.930 Å, c = 7.930 Å
α = 109.34°, β = 109.34°, γ = 109.74°
Atoms (fractional coordinates):
Ba 0.000 0.000 0.000
Ba 0.750 0.250 0.500
La 0.247 0.125 0.622
La 0.375 0.753 0.878
La 0.503 0.625 0.378
La 0.875 0.497 0.122
Se 0.139 0.393 0.413
Se 0.143 0.389 0.913
Se 0.273 0.861 0.253
Se 0.477 0.230 0.087
Se 0.607 0.020 0.747
Se 0.611 0.523 0.753
Se 0.770 0.857 0.247
Se 0.980 0.727 0.587

Values from the calculation:
Density of states at the Fermi level, states/eV/cell: 0.0
Energy, eV per atom: -6.09
Space group: I-42d, No. 122
Formation energy from raw total energies, eV per formula unit: -14.39



No. 10
Below is NaLi3Mn after structural relaxation, with properties calculated at the GGA-PBEsol level.

a = 5.077 Å, b = 5.077 Å, c = 5.077 Å
α = 90.00°, β = 90.00°, γ = 90.00°
Atoms (fractional coordinates):
Na 0.000 0.000 0.000
Li 0.000 0.500 0.500
Li 0.500 0.000 0.500
Li 0.500 0.500 0.000
Mn 0.500 0.500 0.500

Values from the calculation:
Density of states at the Fermi level, states/eV/cell: 3.5
Energy, eV per atom: -2.76
Space group: Pm-3m, No. 221
Calculated formation energy, eV/atom: 0.655



No. 11
Below is SbBr3F after structural relaxation, with properties calculated at the GGA-PBEsol level.

a = 4.845 Å, b = 4.845 Å, c = 4.845 Å
α = 90.00°, β = 90.00°, γ = 90.00°
Atoms (fractional coordinates):
Sb 0.000 0.000 0.000
Br 0.000 0.500 0.500
Br 0.500 0.000 0.500
Br 0.500 0.500 0.000
F 0.500 0.500 0.500

Values from the calculation:
Density of states at the Fermi level, states/eV/cell: 5.1
Energy, eV per atom: -2.20
Space group: Pm-3m, No. 221
Formation energy from raw total energies, eV per formula unit: 1.10



No. 12
Below is ReSi2Sb after structural relaxation, with properties calculated at the GGA-PBEsol level.

a = 5.018 Å, b = 5.018 Å, c = 5.018 Å
α = 141.59°, β = 121.30°, γ = 72.35°
Atoms (fractional coordinates):
Re 0.000 0.000 0.000
Si 0.238 0.738 0.500
Si 0.762 0.262 0.500
Sb 0.500 0.500 0.000

Values from the calculation:
Density of states at the Fermi level, states/eV/cell: 2.1
Energy, eV per atom: -6.79
Space group: Immm, No. 71
Formation energy from raw total energies, eV per formula unit: 2.24